MnF | PBE+U | optimized geometry Values from VASP.

```
&SYSTEM
  ibrav = 0, nat = 16, ntyp = 2
/
ATOMIC_SPECIES
Mn 54.94 Mn.upf
F 19.00 F.upf
CELL_PARAMETERS angstrom
9.058 0.000 0.000
0.000 9.058 0.000
0.000 0.000 3.248
ATOMIC_POSITIONS angstrom
Mn 0.834 1.894 0.000
Mn 1.445 5.633 1.624
Mn 1.894 8.223 0.000
Mn 3.425 1.445 1.624
Mn 5.633 7.612 1.624
Mn 7.163 0.834 0.000
Mn 7.612 3.425 1.624
Mn 8.223 7.163 0.000
F 0.921 3.552 1.624
F 2.698 5.776 0.000
F 3.282 2.698 0.000
F 3.552 8.137 1.624
F 5.506 0.921 1.624
F 5.776 6.360 0.000
F 6.360 3.282 0.000
F 8.137 5.506 1.624
```

Computed properties:
Magnetization   38.152 μB per cell
Space group   P4/m, No. 83
Polymorph energy (0 for the lowest one)   0.06 eV/f.u.